No. 1
{
  "formula": "Cs2LiMg",
  "functional": "PBE-GGA",
  "state": "optimized geometry",
  "lattice_angstrom": [[10.915, 0.000, 0.000], [0.000, 10.915, 0.000], [5.458, 5.458, 3.963]],
  "species": ["Cs", "Cs", "Cs", "Cs", "Mg", "Mg", "Li", "Li"],
  "fractional_positions": [[0.620, 0.125, 0.250], [0.130, 0.625, 0.250], [0.375, 0.380, 0.750], [0.875, 0.870, 0.750], [0.000, 0.000, 0.000], [0.750, 0.250, 0.500], [0.500, 0.500, 0.000], [0.250, 0.750, 0.500]],
  "magmom_total_mub_per_fu": 0.0,
  "volume_a3_per_atom": 59.0,
  "e_tot_ev_per_atom": -0.956,
  "space_group": "I-42d, No. 122",
  "e_form_ev_per_atom": 0.3476,
  "density_g_cm3": 2.09
}

No. 2
{
  "formula": "SrTa2O7",
  "functional": "PBE-GGA",
  "state": "optimized geometry",
  "lattice_angstrom": [[7.412, 0.118, 4.932], [3.610, -2.979, 7.574], [-4.590, -0.836, -7.584]],
  "species": ["Sr", "Ta", "Ta", "O", "O", "O", "O", "O", "O", "O"],
  "fractional_positions": [[0.000, 0.000, 0.000], [0.630, 0.630, 0.000], [0.370, 0.370, 0.000], [0.389, 0.889, 0.500], [0.889, 0.389, 0.500], [0.611, 0.111, 0.500], [0.111, 0.611, 0.500], [0.742, 0.742, 0.000], [0.258, 0.258, 0.000], [0.500, 0.500, 0.000]],
  "magmom_total_mub_per_fu": 2.0,
  "volume_a3_per_atom": 13.1,
  "e_tot_ev_per_atom": -8.371,
  "space_group": "I4/mmm, No. 139",
  "density_g_cm3": 7.11,
  "raw_formation_energy_ev_per_atom": -2.36
}

No. 3
{
  "formula": "Mn4V2Mo",
  "functional": "PBE-GGA",
  "state": "optimized geometry",
  "lattice_angstrom": [[-3.153, -1.485, -2.715], [1.439, -4.135, 0.591], [-4.766, -3.470, 3.839]],
  "species": ["Mo", "Mn", "Mn", "Mn", "Mn", "V", "V"],
  "fractional_positions": [[0.000, 0.000, 0.000], [0.200, 0.200, 0.601], [0.800, 0.800, 0.399], [0.000, 0.500, 0.000], [0.500, 0.000, 0.000], [0.388, 0.388, 0.224], [0.612, 0.612, 0.776]],
  "magmom_total_mub_per_fu": 5.7,
  "volume_a3_per_atom": 17.6,
  "e_tot_ev_per_atom": -8.296,
  "space_group": "I4/mmm, No. 139",
  "e_form_ev_per_atom": 1.0966,
  "density_g_cm3": 5.64
}

No. 4
{
  "formula": "LiCaSi",
  "functional": "PBE-GGA",
  "state": "optimized geometry",
  "lattice_angstrom": [[4.614, 0.000, 0.000], [0.000, 6.849, 0.000], [0.000, 0.000, 7.879]],
  "species": ["Li", "Li", "Li", "Li", "Ca", "Ca", "Ca", "Ca", "Si", "Si", "Si", "Si"],
  "fractional_positions": [[0.000, 0.215, 0.658], [0.000, 0.785, 0.658], [0.500, 0.715, 0.158], [0.500, 0.285, 0.158], [0.000, 0.500, 0.354], [0.500, 0.000, 0.854], [0.000, 0.000, 0.288], [0.500, 0.500, 0.788], [0.000, 0.311, 0.991], [0.000, 0.689, 0.991], [0.500, 0.811, 0.491], [0.500, 0.189, 0.491]],
  "magmom_total_mub_per_fu": 0.0,
  "volume_a3_per_atom": 20.7,
  "e_tot_ev_per_atom": -3.472,
  "space_group": "Imm2, No. 44",
  "density_g_cm3": 2.00,
  "raw_formation_energy_ev_per_atom": -0.36
}

No. 5
{
  "formula": "Tc2PW",
  "functional": "PBE-GGA",
  "state": "optimized geometry",
  "lattice_angstrom": [[1.559, -2.326, 0.000], [1.559, 2.326, 0.000], [0.000, 0.000, 8.056]],
  "species": ["Tc", "Tc", "P", "W"],
  "fractional_positions": [[0.000, 0.000, 0.028], [0.500, 0.500, 0.748], [0.500, 0.500, 0.243], [0.000, 0.000, 0.480]],
  "magmom_total_mub_per_fu": 0.0,
  "volume_a3_per_atom": 14.6,
  "e_tot_ev_per_atom": -9.534,
  "space_group": "Cmm2, No. 35",
  "e_form_ev_per_atom": 0.2400,
  "density_g_cm3": 11.68
}

No. 6
{
  "formula": "Li2Lu3Ge3",
  "functional": "PBE-GGA",
  "state": "optimized geometry",
  "lattice_angstrom": [[5.918, 0.020, 0.000], [-4.480, 3.867, 0.000], [0.000, 0.000, 13.898]],
  "species": ["Li", "Li", "Li", "Li", "Lu", "Lu", "Lu", "Lu", "Lu", "Lu", "Ge", "Ge", "Ge", "Ge", "Ge", "Ge"],
  "fractional_positions": [[0.721, 0.279, 0.421], [0.279, 0.721, 0.579], [0.721, 0.279, 0.079], [0.279, 0.721, 0.921], [0.861, 0.139, 0.750], [0.139, 0.861, 0.250], [0.571, 0.429, 0.881], [0.429, 0.571, 0.119], [0.429, 0.571, 0.381], [0.571, 0.429, 0.619], [0.166, 0.834, 0.750], [0.900, 0.100, 0.545], [0.100, 0.900, 0.045], [0.900, 0.100, 0.955], [0.834, 0.166, 0.250], [0.100, 0.900, 0.455]],
  "magmom_total_mub_per_fu": 0.6,
  "volume_a3_per_atom": 20.0,
  "e_tot_ev_per_atom": -4.550,
  "space_group": "Cmcm, No. 63",
  "e_form_ev_per_atom": -0.6446,
  "density_g_cm3": 7.87
}

No. 7
{
  "formula": "LuPaOsPt",
  "functional": "PBE-GGA",
  "state": "optimized geometry",
  "lattice_angstrom": [[-1.261, -4.041, 2.409], [3.352, -3.393, 0.986], [1.508, -0.675, 4.582]],
  "species": ["Pa", "Os", "Lu", "Pt"],
  "fractional_positions": [[0.000, 0.000, 0.000], [0.250, 0.250, 0.250], [0.500, 0.500, 0.500], [0.750, 0.750, 0.750]],
  "magmom_total_mub_per_fu": 0.0,
  "volume_a3_per_atom": 20.4,
  "e_tot_ev_per_atom": -8.438,
  "space_group": "F-43m, No. 216",
  "e_form_ev_per_atom": -0.6161,
  "density_g_cm3": 16.08
}

No. 8
{
  "formula": "RbAl2BrF",
  "functional": "PBE-GGA",
  "state": "optimized geometry",
  "lattice_angstrom": [[6.559, 0.000, 0.000], [0.000, 4.827, 0.000], [0.000, 0.000, 6.559]],
  "species": ["F", "Br", "Rb", "Al", "Al"],
  "fractional_positions": [[0.000, 0.500, 0.000], [0.500, 0.500, 0.500], [0.000, 0.000, 0.000], [0.000, 0.000, 0.500], [0.500, 0.000, 0.000]],
  "magmom_total_mub_per_fu": 0.0,
  "volume_a3_per_atom": 41.5,
  "e_tot_ev_per_atom": -2.410,
  "space_group": "P4/mmm, No. 123",
  "density_g_cm3": 1.91,
  "raw_formation_energy_ev_per_atom": -0.01
}

No. 9
{
  "formula": "CsK2Rb8Au",
  "functional": "PBE-GGA",
  "state": "optimized geometry",
  "lattice_angstrom": [[-6.458, -0.929, -5.566], [11.601, -5.446, 2.750], [0.926, -8.502, 13.077]],
  "species": ["Cs", "K", "K", "Rb", "Rb", "Rb", "Rb", "Rb", "Rb", "Rb", "Rb", "Au"],
  "fractional_positions": [[0.000, 0.000, 0.500], [0.548, 0.454, 0.683], [0.452, 0.546, 0.317], [0.164, 0.819, 0.222], [0.373, 0.643, 0.957], [0.909, 0.092, 0.135], [0.836, 0.181, 0.778], [0.627, 0.357, 0.043], [0.091, 0.908, 0.865], [0.255, 0.714, 0.593], [0.745, 0.286, 0.407], [0.000, 0.000, 0.000]],
  "magmom_total_mub_per_fu": 0.0,
  "volume_a3_per_atom": 80.7,
  "e_tot_ev_per_atom": -1.219,
  "space_group": "P-1, No. 2",
  "e_form_ev_per_atom": -0.0472,
  "density_g_cm3": 1.87
}

No. 10
{
  "formula": "LiTiW2",
  "functional": "PBE-GGA",
  "state": "optimized geometry",
  "lattice_angstrom": [[6.994, 0.000, 0.000], [0.000, 6.994, 0.000], [3.497, 3.497, 2.587]],
  "species": ["Li", "Li", "W", "W", "W", "W", "Ti", "Ti"],
  "fractional_positions": [[0.500, 0.500, 0.000], [0.250, 0.750, 0.500], [0.606, 0.125, 0.250], [0.144, 0.625, 0.250], [0.375, 0.394, 0.750], [0.875, 0.856, 0.750], [0.000, 0.000, 0.000], [0.750, 0.250, 0.500]],
  "magmom_total_mub_per_fu": 0.0,
  "volume_a3_per_atom": 15.8,
  "e_tot_ev_per_atom": -8.032,
  "space_group": "I-42d, No. 122",
  "e_form_ev_per_atom": 0.8970,
  "density_g_cm3": 11.09
}

No. 11
{
  "formula": "NdHo3Sc3",
  "functional": "PBE-GGA",
  "state": "optimized geometry",
  "lattice_angstrom": [[-3.296, -0.666, 7.786], [1.478, -6.815, 4.828], [4.905, 0.486, 6.902]],
  "species": ["Nd", "Nd", "Ho", "Ho", "Ho", "Ho", "Ho", "Ho", "Sc", "Sc", "Sc", "Sc", "Sc", "Sc"],
  "fractional_positions": [[0.349, 0.349, 0.349], [0.651, 0.651, 0.651], [0.724, 0.569, 0.066], [0.066, 0.724, 0.569], [0.569, 0.066, 0.724], [0.431, 0.934, 0.276], [0.934, 0.276, 0.431], [0.276, 0.431, 0.934], [0.724, 0.167, 0.937], [0.167, 0.937, 0.724], [0.937, 0.724, 0.167], [0.063, 0.276, 0.833], [0.833, 0.063, 0.276], [0.276, 0.833, 0.063]],
  "magmom_total_mub_per_fu": 0.0,
  "volume_a3_per_atom": 30.0,
  "e_tot_ev_per_atom": -5.171,
  "space_group": "R-3, No. 148",
  "e_form_ev_per_atom": 0.1857,
  "density_g_cm3": 6.12
}

No. 12
{
  "formula": "CsK6Rb2Na2",
  "functional": "PBE-GGA",
  "state": "optimized geometry",
  "lattice_angstrom": [[9.956, -0.490, 0.395], [4.310, 12.205, -0.803], [0.639, -8.931, 7.234]],
  "species": ["Cs", "K", "K", "K", "K", "K", "K", "Rb", "Rb", "Na", "Na"],
  "fractional_positions": [[0.500, 0.000, 0.500], [0.377, 0.866, 0.019], [0.106, 0.343, 0.183], [0.172, 0.799, 0.644], [0.894, 0.657, 0.817], [0.828, 0.201, 0.356], [0.623, 0.134, 0.981], [0.833, 0.334, 0.858], [0.167, 0.666, 0.142], [0.371, 0.367, 0.504], [0.629, 0.633, 0.496]],
  "magmom_total_mub_per_fu": 0.0,
  "volume_a3_per_atom": 73.2,
  "e_tot_ev_per_atom": -1.063,
  "space_group": "P-1, No. 2",
  "e_form_ev_per_atom": 0.0288,
  "density_g_cm3": 1.21
}